1.
An optimized crystal structure of Ba5In2H2, computed with GGA-PBE.

E: -2.7563 eV/atom
Space-group type: No. 12

Cell lengths 7.889, 7.889, 7.381 Å; angles 97.04, 97.04, 45.38 degrees
Atoms (fractional coordinates):
Ba 0.000 0.000 0.000
Ba 0.154 0.154 0.536
Ba 0.338 0.338 0.076
Ba 0.662 0.662 0.924
Ba 0.846 0.846 0.464
In 0.438 0.438 0.655
In 0.562 0.562 0.345
H 0.167 0.167 0.896
H 0.833 0.833 0.104

=====

2.
An optimized crystal structure of Mg2Cd3Ag5, computed with GGA-PBE.

Formation energy from the elements: 0.03 eV/atom
Space-group type: No. 72

Cell lengths 9.396, 9.396, 9.396 Å; angles 108.65, 81.60, 145.72 degrees
Atoms (fractional coordinates):
Mg 0.210 0.108 0.318
Mg 0.290 0.608 0.898
Mg 0.710 0.392 0.102
Mg 0.790 0.892 0.682
Cd 0.153 0.382 0.535
Cd 0.250 0.250 0.000
Cd 0.347 0.882 0.229
Cd 0.653 0.118 0.771
Cd 0.750 0.750 0.000
Cd 0.847 0.618 0.465
Ag 0.157 0.849 0.006
Ag 0.250 0.501 0.251
Ag 0.250 0.750 0.500
Ag 0.250 0.999 0.749
Ag 0.343 0.349 0.692
Ag 0.657 0.651 0.308
Ag 0.750 0.001 0.251
Ag 0.750 0.250 0.500
Ag 0.750 0.499 0.749
Ag 0.843 0.151 0.994

=====

3.
An optimized crystal structure of Ta2ReRh, computed with GGA-PBE.

Formation energy from the elements: -0.14 eV/atom
Space-group type: No. 99

Cell lengths 3.242, 3.242, 6.285 Å; angles 90.00, 90.00, 90.00 degrees
Atoms (fractional coordinates):
Ta 0.000 0.000 0.000
Ta 0.500 0.500 0.278
Re 0.000 0.000 0.500
Rh 0.500 0.500 0.779

=====

4.
An optimized crystal structure of ZnGa4Ag5, computed with GGA-PBE.

Formation energy from the elements: 0.04 eV/atom
Space-group type: No. 12

Cell lengths 6.971, 6.971, 8.819 Å; angles 90.52, 90.52, 25.15 degrees
Atoms (fractional coordinates):
Zn 0.000 0.000 0.000
Ga 0.167 0.167 0.754
Ga 0.492 0.492 0.754
Ga 0.508 0.508 0.246
Ga 0.833 0.833 0.246
Ag 0.000 0.000 0.500
Ag 0.325 0.325 0.576
Ag 0.331 0.331 0.941
Ag 0.669 0.669 0.059
Ag 0.675 0.675 0.424

=====

5.
An optimized crystal structure of Be2AuSe, computed with GGA-PBE.

Formation energy (no corrections): 0.007 eV/atom
Space-group type: No. 12

Cell lengths 3.450, 3.450, 6.082 Å; angles 106.32, 106.32, 59.73 degrees
Atoms (fractional coordinates):
Be 0.247 0.247 0.244
Be 0.753 0.753 0.756
Au 0.000 0.000 0.500
Se 0.500 0.500 0.000

=====

6.
An optimized crystal structure of CaY2Ir, computed with GGA-PBE.

Formation energy from the elements: -0.27 eV/atom
Space-group type: No. 99

Cell lengths 3.487, 3.487, 9.124 Å; angles 90.00, 90.00, 90.00 degrees
Atoms (fractional coordinates):
Ca 0.000 0.000 0.000
Y 0.000 0.000 0.363
Y 0.500 0.500 0.672
Ir 0.500 0.500 0.200

=====

7.
An optimized crystal structure of Zr3Tc6P5, computed with GGA-PBE.

Formation energy from the elements: -0.71 eV/atom
Space-group type: No. 59

Cell lengths 3.920, 12.143, 9.206 Å; angles 90.00, 90.00, 90.00 degrees
Atoms (fractional coordinates):
Zr 0.250 0.078 0.249
Zr 0.250 0.422 0.249
Zr 0.250 0.750 0.275
Zr 0.750 0.250 0.725
Zr 0.750 0.578 0.751
Zr 0.750 0.922 0.751
Tc 0.250 0.059 0.590
Tc 0.250 0.250 0.450
Tc 0.250 0.250 0.981
Tc 0.250 0.441 0.590
Tc 0.250 0.582 0.006
Tc 0.250 0.918 0.006
Tc 0.750 0.082 0.994
Tc 0.750 0.418 0.994
Tc 0.750 0.559 0.410
Tc 0.750 0.750 0.019
Tc 0.750 0.750 0.550
Tc 0.750 0.941 0.410
P 0.250 0.083 0.844
P 0.250 0.417 0.844
P 0.250 0.628 0.535
P 0.250 0.750 0.873
P 0.250 0.872 0.535
P 0.750 0.128 0.465
P 0.750 0.250 0.127
P 0.750 0.372 0.465
P 0.750 0.583 0.156
P 0.750 0.917 0.156

=====

8.
An optimized crystal structure of Ni2Pd7Au, computed with GGA-PBE.

Formation energy from the elements: 0.51 eV/atom
Space-group type: No. 65

Cell lengths 7.118, 7.118, 4.229 Å; angles 90.00, 90.00, 119.17 degrees
Atoms (fractional coordinates):
Ni 0.196 0.804 0.000
Ni 0.804 0.196 0.000
Pd 0.000 0.000 0.000
Pd 0.194 0.431 0.000
Pd 0.282 0.718 0.500
Pd 0.431 0.194 0.000
Pd 0.569 0.806 0.000
Pd 0.718 0.282 0.500
Pd 0.806 0.569 0.000
Au 0.500 0.500 0.500